(a)
Here is crystalline SrCd4Ag2 at its relaxed geometry from Alexandria via LeMat-Bulk. Energies are from PBE.

## Properties
For the total moment, the calculation gives 0.0 μB per cell. The theoretical density is 7.410 g/cm³. For the density of states at the Fermi level, the calculation gives 5.4 states/eV/cell.

Cell: 8.6683 8.6683 4.4917 Å, 90.00 90.00 90.00°
With the nearest neighbours (Å) after each atom.
Space group P4_2/mnm (No. 136)
Unique sites:
Sr (0.0000, 0.0000, 0.0000)  6 Ag 3.43-3.54, 12 Cd 3.80-3.81
Cd (0.0893, 0.3421, 0.5000)  3 Ag 2.84-2.87, 6 Cd 3.10-3.16
Ag (0.2110, 0.7890, 0.5000)  6 Cd 2.84-2.87

=====

(b)
Here is crystalline SrCd4Ag2 at its relaxed geometry from Alexandria via LeMat-Bulk. Energies are from PBE.

## Properties
For the total moment, the calculation gives 0.0 μB per cell. The theoretical density is 5.607 g/cm³. For the density of states at the Fermi level, the calculation gives 6.4 states/eV/cell.

Cell: 8.6948 8.6948 5.8994 Å, 90.00 90.00 90.00°
With the nearest neighbours (Å) after each atom.
Space group I4/mmm (No. 139)
Unique sites:
Sr (0.0000, 0.0000, 0.0000)  8 Cd 3.58
Cd (0.0000, 0.2338, 0.5000)  2 Ag 2.74, 2 Cd 2.87
Ag (0.0000, 0.5000, 0.2500)  4 Cd 2.74, 2 Ag 2.95

=====

Verdict on stability: (a) comes out on top.

=====

(a)
Here is crystalline SrCd6Ag4 at its relaxed geometry from Alexandria via LeMat-Bulk. Energies are from PBE.

## Properties
For the total moment, the calculation gives 0.0 μB per cell. The theoretical density is 7.770 g/cm³. For the density of states at the Fermi level, the calculation gives 5.2 states/eV/cell.

Cell: 8.0938 8.0938 4.4962 Å, 90.00 90.00 120.00°
With the nearest neighbours (Å) after each atom.
Space group P-6m2 (No. 187)
Unique sites:
Sr (0.0000, 0.0000, 0.0000)  6 Cd 3.61, 6 Ag 3.64
Cd (0.2011, 0.4022, 0.5000)  4 Ag 2.84-2.91
Cd (0.5346, 0.0692, 0.0000)  5 Ag 2.82-2.90
Ag (0.3333, 0.6667, 0.0000)  9 Cd 2.82-2.91
Ag (0.4083, 0.2042, 0.5000)  6 Cd 2.84-2.90, 2 Ag 3.14

=====

(b)
Here is crystalline SrCd6Ag4 at its relaxed geometry from Alexandria via LeMat-Bulk. Energies are from PBE.

## Properties
For the total moment, the calculation gives 0.0 μB per cell. The theoretical density is 7.192 g/cm³. For the density of states at the Fermi level, the calculation gives 9.4 states/eV/cell.

Cell: 7.2762 7.2762 10.4101 Å, 90.00 90.00 90.00°
With the nearest neighbours (Å) after each atom.
Space group I-42m (No. 121)
Unique sites:
Sr (0.0000, 0.0000, 0.0000)  4 Ag 3.55, 12 Cd 3.64-3.80
Cd (0.0000, 0.5000, 0.0000)  4 Ag 2.84
Cd (0.1927, 0.1927, 0.7023)  4 Ag 2.73-2.93
Ag (0.1640, 0.1640, 0.4225)  6 Cd 2.73-2.93, 2 Ag 2.88

=====

Verdict on stability: (a) comes out on top.

=====

(a)
Here is crystalline Sr2Cd5Ag4 at its relaxed geometry from Alexandria via LeMat-Bulk. Energies are from PBE.

## Properties
For the total moment, the calculation gives 0.0 μB per cell. The theoretical density is 7.157 g/cm³. For the density of states at the Fermi level, the calculation gives 9.5 states/eV/cell.

Cell: 5.8929 9.3862 9.8055 Å, 90.00 90.00 90.00°
With the nearest neighbours (Å) after each atom.
Space group Immm (No. 71)
Unique sites:
Sr (0.0000, 0.0000, 0.2195)  6 Ag 3.18-3.33
Cd (0.0000, 0.5000, 0.5000)  4 Ag 2.85
Cd (0.2488, 0.3022, 0.0000)  4 Ag 2.92-3.11, 3 Cd 2.93-3.20
Ag (0.0000, 0.3363, 0.2551)  5 Cd 2.85-3.11, 1 Ag 3.07, 1 Sr 3.18

=====

(b)
Here is crystalline Sr2Cd5Ag4 at its relaxed geometry from Alexandria via LeMat-Bulk. Energies are from PBE.

## Properties
For the total moment, the calculation gives 0.0 μB per cell. The theoretical density is 6.976 g/cm³. For the density of states at the Fermi level, the calculation gives 16.1 states/eV/cell.

Cell: 6.0211 9.8735 18.7188 Å, 90.00 90.00 90.00°
With the nearest neighbours (Å) after each atom.
Space group Fmmm (No. 69)
Unique sites:
Sr (0.0000, 0.0000, 0.1319)  6 Ag 3.38-3.40, 4 Cd 3.64
Cd (0.0000, 0.0000, 0.5000)  4 Ag 2.87, 4 Cd 2.89
Cd (0.2500, 0.2500, 0.0000)  4 Cd 2.89-3.01, 4 Ag 3.01
Cd (0.2500, 0.2500, 0.2500)  4 Ag 2.86, 2 Cd 3.01
Ag (0.0000, 0.1555, 0.3702)  5 Cd 2.86-3.01, 1 Ag 3.07

=====

Verdict on stability: (b) comes out on top.

=====

(a)
Here is crystalline SrCd3Ag at its relaxed geometry from Alexandria via LeMat-Bulk. Energies are from PBE.

## Properties
For the total moment, the calculation gives 0.0 μB per cell. The theoretical density is 3.373 g/cm³. For the density of states at the Fermi level, the calculation gives 2.3 states/eV/cell.

Cell: 6.4009 6.4009 6.4009 Å, 90.00 90.00 90.00°
With the nearest neighbours (Å) after each atom.
Space group Pm-3m (No. 221)
Unique sites:
Sr (0.0000, 0.0000, 0.0000)  6 Cd 3.20
Cd (0.0000, 0.0000, 0.5000)  2 Sr 3.20
Ag (0.5000, 0.5000, 0.5000)  12 Cd 4.53

=====

(b)
Here is crystalline SrCd3Ag at its relaxed geometry from Alexandria via LeMat-Bulk. Energies are from PBE.

## Properties
For the total moment, the calculation gives 0.0 μB per cell. The theoretical density is 6.637 g/cm³. For the density of states at the Fermi level, the calculation gives 11.3 states/eV/cell.

Cell: 6.5938 12.6508 6.3910 Å, 90.00 90.00 90.00°
With the nearest neighbours (Å) after each atom.
Space group Cmcm (No. 63)
Unique sites:
Sr (0.0000, 0.2490, 0.2500)  4 Ag 3.47-3.55, 8 Cd 3.49-3.89
Cd (0.0000, 0.1389, 0.7500)  1 Ag 2.75, 4 Cd 2.94
Cd (0.2378, 0.5000, 0.0000)  2 Ag 2.89, 5 Cd 2.94-3.20
Ag (0.0000, 0.3560, 0.7500)  5 Cd 2.75-2.89

=====

Verdict on stability: (b) comes out on top.